Record 1
Compound: Li2Mo
Source: Alexandria
Functional: PBE
Structure: optimized geometry Values from VASP.

Quantum ESPRESSO input file:
```
&SYSTEM
  ibrav = 0, nat = 3, ntyp = 2
/
ATOMIC_SPECIES
Li 6.94 Li.upf
Mo 95.94 Mo.upf
CELL_PARAMETERS angstrom
-0.0231 0.8089 4.5508
3.2618 -1.8612 2.6947
3.2518 2.6897 1.8858
ATOMIC_POSITIONS angstrom
Li 1.6226 0.4093 2.2828
Li 4.8678 1.2280 6.8485
Mo 0.0000 0.0000 0.0000
```

Summary:
The energy of formation comes out at 4.62 eV per formula unit. As for the density of states at the Fermi level: 0.95 states/eV per atom. Its spin magnetization is 4.2 μB/f.u. The value obtained for the total energy is -3.35 eV/atom. Its energy above the most stable polymorph in this dataset is 1.224 eV per atom. The crystal system is cubic.


Record 2
Compound: LiMo
Source: Alexandria
Functional: PBE
Structure: optimized geometry Values from VASP.

Quantum ESPRESSO input file:
```
&SYSTEM
  ibrav = 0, nat = 16, ntyp = 2
/
ATOMIC_SPECIES
Li 6.94 Li.upf
Mo 95.94 Mo.upf
CELL_PARAMETERS angstrom
10.6167 0.0000 0.0000
0.0000 10.6167 0.0000
0.0000 0.0000 2.8993
ATOMIC_POSITIONS angstrom
Li 4.7440 9.0957 0.0000
Li 6.8294 10.0523 1.4496
Li 10.0523 3.7873 1.4496
Mo 2.2446 8.8026 1.4496
Mo 3.0638 7.1225 0.0000
Li 3.7873 0.5644 1.4496
Li 9.0957 5.8727 0.0000
Li 5.8727 1.5210 0.0000
Li 1.5210 4.7440 0.0000
Mo 8.3721 1.8141 1.4496
Mo 7.5529 3.4942 0.0000
Mo 3.4942 3.0638 0.0000
Mo 1.8141 2.2446 1.4496
Li 0.5644 6.8294 1.4496
Mo 7.1225 7.5529 0.0000
Mo 8.8026 8.3721 1.4496
```

Summary:
The energy of formation comes out at 1.94 eV per formula unit. As for the density of states at the Fermi level: 0.61 states/eV per atom. Its spin magnetization is 0.0 μB/f.u. The value obtained for the total energy is -5.40 eV/atom. Its energy above the most stable polymorph in this dataset is 0.768 eV per atom. The crystal system is tetragonal.


Record 3
Compound: LiMo
Source: Alexandria
Functional: PBE
Structure: optimized geometry Values from VASP.

Quantum ESPRESSO input file:
```
&SYSTEM
  ibrav = 0, nat = 8, ntyp = 2
/
ATOMIC_SPECIES
Mo 95.94 Mo.upf
Li 6.94 Li.upf
CELL_PARAMETERS angstrom
-0.4432 -4.6794 1.2045
-0.9245 -1.1051 -4.6333
4.9631 -0.6830 -0.8273
ATOMIC_POSITIONS angstrom
Mo -0.9081 -3.8407 -2.2767
Mo 1.6360 -2.0327 -4.0898
Li -0.5225 -4.0902 0.2422
Li 2.0232 -2.2802 -1.5629
Li -0.8451 -1.6943 -3.6710
Li 1.5723 -4.1873 -2.6933
Mo -0.4596 -1.9438 -1.1522
Mo 1.9595 -4.4348 -0.1664
```

Summary:
The energy of formation comes out at 2.01 eV per formula unit. As for the density of states at the Fermi level: 0.28 states/eV per atom. Its spin magnetization is 0.0 μB/f.u. The value obtained for the total energy is -5.37 eV/atom. Its energy above the most stable polymorph in this dataset is 0.801 eV per atom. The crystal system is tetragonal.


Record 4
Compound: Li2Mo
Source: Alexandria
Functional: PBE
Structure: optimized geometry Values from VASP.

Quantum ESPRESSO input file:
```
&SYSTEM
  ibrav = 0, nat = 3, ntyp = 2
/
ATOMIC_SPECIES
Li 6.94 Li.upf
Mo 95.94 Mo.upf
CELL_PARAMETERS angstrom
5.2522 0.0000 0.0000
0.0000 5.2522 0.0000
0.0000 0.0000 2.3757
ATOMIC_POSITIONS angstrom
Li 0.0000 2.6261 1.1878
Li 2.6261 0.0000 1.1878
Mo 0.0000 0.0000 0.0000
```

Summary:
The energy of formation comes out at 2.80 eV per formula unit. As for the density of states at the Fermi level: 1.06 states/eV per atom. Its spin magnetization is 0.0 μB/f.u. The value obtained for the total energy is -3.95 eV/atom. Its energy above the most stable polymorph in this dataset is 0.616 eV per atom. The crystal system is tetragonal.


Record 5
Compound: LiMo2
Source: Alexandria
Functional: PBE
Structure: optimized geometry Values from VASP.

Quantum ESPRESSO input file:
```
&SYSTEM
  ibrav = 0, nat = 6, ntyp = 2
/
ATOMIC_SPECIES
Mo 95.94 Mo.upf
Li 6.94 Li.upf
CELL_PARAMETERS angstrom
3.9751 -2.3807 3.1233
4.8683 -0.0104 2.7429
-1.7157 1.6914 6.5120
ATOMIC_POSITIONS angstrom
Mo 2.2463 0.2502 6.8342
Li 4.6018 -0.4019 8.3020
Mo 6.4412 -1.6849 4.6264
Mo -0.0646 0.4728 2.7946
Mo 2.2678 -0.1763 4.2267
Li 8.7946 -2.3670 5.9016
```

Summary:
The energy of formation comes out at 1.25 eV per formula unit. As for the density of states at the Fermi level: 0.84 states/eV per atom. Its spin magnetization is 0.0 μB/f.u. The value obtained for the total energy is -7.44 eV/atom. Its energy above the most stable polymorph in this dataset is 0.117 eV per atom. The crystal system is monoclinic.


Record 6
Compound: LiMo
Source: Alexandria
Functional: PBE
Structure: optimized geometry Values from VASP.

Quantum ESPRESSO input file:
```
&SYSTEM
  ibrav = 0, nat = 16, ntyp = 2
/
ATOMIC_SPECIES
Mo 95.94 Mo.upf
Li 6.94 Li.upf
CELL_PARAMETERS angstrom
5.3158 0.0000 0.0000
0.0000 5.3158 0.0000
0.0000 0.0000 8.4675
ATOMIC_POSITIONS angstrom
Mo 0.9488 5.2560 3.2106
Li 1.6880 4.9324 7.1952
Mo 3.6067 2.7178 7.3738
Li 2.2745 0.9699 0.8446
Li 4.3459 3.0414 3.3892
Mo 2.7178 3.6067 1.0938
Li 3.6278 0.3834 2.9614
Li 3.0414 4.3459 5.0783
Li 0.3834 3.6278 5.5061
Mo 0.0599 4.3670 1.0231
Mo 2.5981 1.7091 5.3275
Mo 1.7091 2.5981 3.1400
Li 0.9699 2.2745 7.6230
Mo 5.2560 0.9488 5.2569
Li 4.9324 1.6880 1.2723
Mo 4.3670 0.0599 7.4444
```

Summary:
The energy of formation comes out at 0.89 eV per formula unit. As for the density of states at the Fermi level: 0.58 states/eV per atom. Its spin magnetization is 0.0 μB/f.u. The value obtained for the total energy is -5.93 eV/atom. Its energy above the most stable polymorph in this dataset is 0.246 eV per atom. The crystal system is tetragonal.


Record 7
Compound: LiMo2
Source: Alexandria
Functional: PBE
Structure: optimized geometry Values from VASP.

Quantum ESPRESSO input file:
```
&SYSTEM
  ibrav = 0, nat = 6, ntyp = 2
/
ATOMIC_SPECIES
Mo 95.94 Mo.upf
Li 6.94 Li.upf
CELL_PARAMETERS angstrom
-5.2269 -0.1787 3.6655
3.6370 -2.4669 -4.6341
2.1906 -2.4171 3.0060
ATOMIC_POSITIONS angstrom
Mo 3.1947 -3.7414 -0.4271
Mo -2.5940 -1.3213 2.4645
Li -2.7520 -2.2063 5.1410
Li 3.3527 -2.8564 -3.1036
Mo 0.4113 -2.0971 -0.3495
Mo 0.1894 -2.9656 2.3869
```

Summary:
The energy of formation comes out at 1.32 eV per formula unit. As for the density of states at the Fermi level: 0.83 states/eV per atom. Its spin magnetization is 0.0 μB/f.u. The value obtained for the total energy is -7.42 eV/atom. Its energy above the most stable polymorph in this dataset is 0.140 eV per atom. The crystal system is orthorhombic.


Record 8
Compound: LiMo2
Source: Alexandria
Functional: PBE
Structure: optimized geometry Values from VASP.

Quantum ESPRESSO input file:
```
&SYSTEM
  ibrav = 0, nat = 6, ntyp = 2
/
ATOMIC_SPECIES
Mo 95.94 Mo.upf
Li 6.94 Li.upf
CELL_PARAMETERS angstrom
-3.7006 2.0523 -3.8614
-3.5839 -0.4634 -4.4450
-5.6450 -0.9981 3.1727
ATOMIC_POSITIONS angstrom
Mo -2.7315 0.5578 -2.9510
Mo -10.1979 0.0330 -2.1827
Mo -4.0296 -0.6528 2.0077
Li -5.7687 -0.1690 -0.4258
Mo -8.8999 1.2437 -7.1414
Li -7.1607 0.7598 -4.7078
```

Summary:
The energy of formation comes out at 1.12 eV per formula unit. As for the density of states at the Fermi level: 0.75 states/eV per atom. Its spin magnetization is 0.0 μB/f.u. The value obtained for the total energy is -7.49 eV/atom. Its energy above the most stable polymorph in this dataset is 0.073 eV per atom. The crystal system is monoclinic.


Record 9
Compound: LiMo
Source: Alexandria
Functional: PBE
Structure: optimized geometry Values from VASP.

Quantum ESPRESSO input file:
```
&SYSTEM
  ibrav = 0, nat = 8, ntyp = 2
/
ATOMIC_SPECIES
Li 6.94 Li.upf
Mo 95.94 Mo.upf
CELL_PARAMETERS angstrom
2.0707 -3.5865 0.0000
2.0707 3.5865 0.0000
0.0000 0.0000 9.4267
ATOMIC_POSITIONS angstrom
Li 2.0707 1.1955 4.1545
Li 2.0707 -1.1955 5.2722
Mo 0.0000 0.0000 7.0700
Mo 0.0000 0.0000 2.3567
Li 2.0707 -1.1955 8.8678
Mo 2.0707 1.1955 7.0700
Mo 2.0707 -1.1955 2.3567
Li 2.0707 1.1955 0.5589
```

Summary:
The energy of formation comes out at 1.37 eV per formula unit. As for the density of states at the Fermi level: 0.48 states/eV per atom. Its spin magnetization is 0.0 μB/f.u. The value obtained for the total energy is -5.69 eV/atom. Its energy above the most stable polymorph in this dataset is 0.483 eV per atom. The crystal system is hexagonal.


Record 10
Compound: LiMo
Source: Alexandria
Functional: PBE
Structure: optimized geometry Values from VASP.

Quantum ESPRESSO input file:
```
&SYSTEM
  ibrav = 0, nat = 4, ntyp = 2
/
ATOMIC_SPECIES
Li 6.94 Li.upf
Mo 95.94 Mo.upf
CELL_PARAMETERS angstrom
2.6520 0.0207 0.0000
-0.8363 2.5168 0.0000
0.0000 0.0000 9.5822
ATOMIC_POSITIONS angstrom
Li 0.0000 0.0000 0.0904
Mo 0.9079 1.2687 2.4513
Mo 0.0000 0.0000 4.7353
Li 0.9079 1.2687 7.0963
```

Summary:
The energy of formation comes out at 0.40 eV per formula unit. As for the density of states at the Fermi level: 0.49 states/eV per atom. Its spin magnetization is 0.0 μB/f.u. The value obtained for the total energy is -6.17 eV/atom. Its energy above the most stable polymorph in this dataset is 0.000 eV per atom. The crystal system is orthorhombic.


Record 11
Compound: Li5Mo
Source: Alexandria
Functional: PBE
Structure: optimized geometry Values from VASP.

Quantum ESPRESSO input file:
```
&SYSTEM
  ibrav = 0, nat = 6, ntyp = 2
/
ATOMIC_SPECIES
Li 6.94 Li.upf
Mo 95.94 Mo.upf
CELL_PARAMETERS angstrom
7.0277 1.6548 -3.9643
-7.8820 -1.7602 1.6183
-1.0273 4.7483 0.1609
ATOMIC_POSITIONS angstrom
Li -2.8007 -0.5963 -0.2843
Li -7.6594 -1.7092 1.5349
Li 2.1015 0.5265 -2.1198
Li 2.9664 3.2164 -2.5555
Mo -6.8474 0.9686 1.1190
Li -1.8042 2.1237 -0.7693
```

Summary:
The energy of formation comes out at 1.87 eV per formula unit. As for the density of states at the Fermi level: 0.74 states/eV per atom. Its spin magnetization is 0.0 μB/f.u. The value obtained for the total energy is -3.09 eV/atom. Its energy above the most stable polymorph in this dataset is 0.113 eV per atom. The crystal system is orthorhombic.


Record 12
Compound: LiMo
Source: Alexandria
Functional: PBE
Structure: optimized geometry Values from VASP.

Quantum ESPRESSO input file:
```
&SYSTEM
  ibrav = 0, nat = 4, ntyp = 2
/
ATOMIC_SPECIES
Mo 95.94 Mo.upf
Li 6.94 Li.upf
CELL_PARAMETERS angstrom
2.6054 0.0000 0.0000
0.0000 2.6054 0.0000
0.0000 0.0000 9.3653
ATOMIC_POSITIONS angstrom
Mo 1.3027 1.3027 2.3335
Li 1.3027 1.3027 6.9706
Mo 0.0000 0.0000 4.6905
Li 0.0000 0.0000 0.0534
```

Summary:
The energy of formation comes out at 0.67 eV per formula unit. As for the density of states at the Fermi level: 0.82 states/eV per atom. Its spin magnetization is 0.0 μB/f.u. The value obtained for the total energy is -6.04 eV/atom. Its energy above the most stable polymorph in this dataset is 0.135 eV per atom. The crystal system is tetragonal.


Record 13
Compound: LiMo
Source: Alexandria
Functional: PBE
Structure: optimized geometry Values from VASP.

Quantum ESPRESSO input file:
```
&SYSTEM
  ibrav = 0, nat = 4, ntyp = 2
/
ATOMIC_SPECIES
Mo 95.94 Mo.upf
Li 6.94 Li.upf
CELL_PARAMETERS angstrom
-0.0886 0.1577 -3.2108
-2.2787 -2.2687 -0.0486
-4.4477 4.4600 0.3418
ATOMIC_POSITIONS angstrom
Mo -2.3545 2.3610 0.1809
Li -0.0004 0.0004 0.0000
Mo -4.3887 2.1584 -1.3834
Li -2.2952 0.0591 -1.5443
```

Summary:
The energy of formation comes out at 0.78 eV per formula unit. As for the density of states at the Fermi level: 0.96 states/eV per atom. Its spin magnetization is 0.0 μB/f.u. The value obtained for the total energy is -5.98 eV/atom. Its energy above the most stable polymorph in this dataset is 0.189 eV per atom. The crystal system is tetragonal.


Record 14
Compound: LiMo
Source: Alexandria
Functional: PBE
Structure: optimized geometry Values from VASP.

Quantum ESPRESSO input file:
```
&SYSTEM
  ibrav = 0, nat = 4, ntyp = 2
/
ATOMIC_SPECIES
Li 6.94 Li.upf
Mo 95.94 Mo.upf
CELL_PARAMETERS angstrom
3.5915 0.0000 0.0000
0.0000 3.5915 0.0000
0.0000 0.0000 4.7578
ATOMIC_POSITIONS angstrom
Li 2.6936 2.6936 2.3773
Mo 2.6936 0.8979 0.0000
Li 0.8979 0.8979 2.3805
Mo 0.8979 2.6936 0.0000
```

Summary:
The energy of formation comes out at 0.89 eV per formula unit. As for the density of states at the Fermi level: 1.30 states/eV per atom. Its spin magnetization is 0.0 μB/f.u. The value obtained for the total energy is -5.93 eV/atom. Its energy above the most stable polymorph in this dataset is 0.244 eV per atom. The crystal system is tetragonal.